Record 1
# PBE LiPm2Th3Te6, optimized geometry
data_LiPm2Th3Te6
_symmetry_space_group_name_H-M 'C 1 2/m 1'
_symmetry_Int_Tables_number 12
_cell_length_a 19.610
_cell_length_b 4.323
_cell_length_c 9.107
_cell_angle_alpha 90.00
_cell_angle_beta 107.11
_cell_angle_gamma 90.00
loop_
_symmetry_equiv_pos_as_xyz
'x,y,z'
'-x,-y,-z'
'-x,y,-z'
'x,-y,z'
'x+1/2,y+1/2,z'
'-x+1/2,-y+1/2,-z'
'-x+1/2,y+1/2,-z'
'x+1/2,-y+1/2,z'
loop_
_atom_site_label
_atom_site_fract_x
_atom_site_fract_y
_atom_site_fract_z
Li1 0.000 0.000 0.000
Pm1 0.169 0.500 0.336
Th1 0.000 0.000 0.500
Th2 0.175 0.500 0.844
Te1 0.002 0.500 0.763
Te2 0.153 0.000 0.080
Te3 0.167 0.000 0.583
# - Crystal system: monoclinic
# - Spin magnetization: 0.00 μB per formula unit
# - Energy relative to the elements, uncorrected: -1.174 eV per atom
# - Final energy: -5.55 eV per atom


Record 2
# PBE NiOsCl2, optimized geometry
data_NiOsCl2
_symmetry_space_group_name_H-M 'P 1 m 1'
_symmetry_Int_Tables_number 6
_cell_length_a 3.142
_cell_length_b 3.315
_cell_length_c 7.532
_cell_angle_alpha 90.00
_cell_angle_beta 95.97
_cell_angle_gamma 90.00
loop_
_symmetry_equiv_pos_as_xyz
'x,y,z'
'x,-y,z'
loop_
_atom_site_label
_atom_site_fract_x
_atom_site_fract_y
_atom_site_fract_z
Ni1 0.000 0.000 0.000
Os1 0.535 0.500 0.148
Cl1 0.233 0.500 0.828
Cl2 0.626 0.000 0.370
# - Crystal system: monoclinic
# - Distance to the lowest polymorph of the same formula: 20 meV/atom
# - Spin magnetization: 0.00 μB per formula unit
# - Energy relative to the elements, uncorrected: 0.226 eV per atom
# - Final energy: -4.95 eV per atom


Record 3
# PBE LiSmThIn, optimized geometry
data_LiSmThIn
_symmetry_space_group_name_H-M 'F -4 3 m'
_symmetry_Int_Tables_number 216
_symmetry_space_group_name_Hall 'F -4 2 3'
_cell_length_a 7.609
_cell_length_b 7.609
_cell_length_c 7.609
_cell_angle_alpha 90.00
_cell_angle_beta 90.00
_cell_angle_gamma 90.00
loop_
_atom_site_label
_atom_site_fract_x
_atom_site_fract_y
_atom_site_fract_z
Li1 0.000 0.000 0.000
Sm1 0.250 0.250 0.250
Th1 0.250 0.250 0.750
In1 0.000 0.000 0.500
# - Formation energy: -123 meV/atom
# - Crystal system: cubic
# - Spin magnetization: 0.00 μB per formula unit
# - Final energy: -4.32 eV per atom


Record 4
# PBE Ce3SmPb4, optimized geometry
data_Ce3SmPb4
_symmetry_space_group_name_H-M 'P m m n'
_symmetry_Int_Tables_number 59
_cell_length_a 6.426
_cell_length_b 12.860
_cell_length_c 6.426
_cell_angle_alpha 90.00
_cell_angle_beta 90.00
_cell_angle_gamma 90.00
loop_
_symmetry_equiv_pos_as_xyz
'x,y,z'
'-x,-y,-z'
'-x+1/2,-y+1/2,z'
'x+1/2,y+1/2,-z'
'x+1/2,-y,-z'
'-x+1/2,y,z'
'-x,y+1/2,-z'
'x,-y+1/2,z'
loop_
_atom_site_label
_atom_site_fract_x
_atom_site_fract_y
_atom_site_fract_z
Ce1 0.250 0.000 0.250
Ce2 0.250 0.250 0.748
Sm1 0.250 0.750 0.752
Pb1 0.250 0.002 0.750
Pb2 0.250 0.250 0.248
Pb3 0.250 0.750 0.252
# - Formation energy: -320 meV/atom
# - Crystal system: orthorhombic
# - Distance to the lowest polymorph of the same formula: 97 meV/atom
# - Spin magnetization: 0.47 μB per formula unit
# - Final energy: -4.99 eV per atom


Record 5
# PBE TlPtAu2, optimized geometry
data_TlPtAu2
_symmetry_space_group_name_H-M 'C 1 m 1'
_symmetry_Int_Tables_number 8
_cell_length_a 9.277
_cell_length_b 3.228
_cell_length_c 5.254
_cell_angle_alpha 90.00
_cell_angle_beta 102.51
_cell_angle_gamma 90.00
loop_
_symmetry_equiv_pos_as_xyz
'x,y,z'
'x,-y,z'
'x+1/2,y+1/2,z'
'x+1/2,-y+1/2,z'
loop_
_atom_site_label
_atom_site_fract_x
_atom_site_fract_y
_atom_site_fract_z
Tl1 0.000 0.000 0.000
Pt1 0.250 0.500 0.237
Au1 0.241 0.000 0.716
Au2 0.492 0.000 0.488
# - Formation energy: 99 meV/atom
# - Crystal system: monoclinic
# - Distance to the lowest polymorph of the same formula: 22 meV/atom
# - Spin magnetization: 0.00 μB per formula unit
# - Final energy: -3.64 eV per atom


Record 6
# PBE MgCr2W, optimized geometry
data_MgCr2W
_symmetry_space_group_name_H-M 'P 4 m m'
_symmetry_Int_Tables_number 99
_cell_length_a 2.882
_cell_length_b 2.882
_cell_length_c 7.185
_cell_angle_alpha 90.00
_cell_angle_beta 90.00
_cell_angle_gamma 90.00
loop_
_symmetry_equiv_pos_as_xyz
'x,y,z'
'-y,x,z'
'-x,-y,z'
'y,-x,z'
'-x,y,z'
'y,x,z'
'x,-y,z'
'-y,-x,z'
loop_
_atom_site_label
_atom_site_fract_x
_atom_site_fract_y
_atom_site_fract_z
Mg1 0.000 0.000 0.000
Cr1 0.000 0.000 0.554
Cr2 0.500 0.500 0.716
W1 0.500 0.500 0.303
# - Formation energy: 385 meV/atom
# - Crystal system: tetragonal
# - Distance to the lowest polymorph of the same formula: 58 meV/atom
# - Spin magnetization: 0.67 μB per formula unit
# - Final energy: -8.06 eV per atom


Record 7
# PBE KY4Pt, optimized geometry
data_KY4Pt
_symmetry_space_group_name_H-M 'F -4 3 m'
_symmetry_Int_Tables_number 216
_symmetry_space_group_name_Hall 'F -4 2 3'
_cell_length_a 9.122
_cell_length_b 9.122
_cell_length_c 9.122
_cell_angle_alpha 90.00
_cell_angle_beta 90.00
_cell_angle_gamma 90.00
loop_
_atom_site_label
_atom_site_fract_x
_atom_site_fract_y
_atom_site_fract_z
K1 0.000 0.000 0.000
Y1 0.123 0.123 0.377
Pt1 0.250 0.250 0.750
# - Formation energy: 592 meV/atom
# - Crystal system: cubic
# - Spin magnetization: 0.00 μB per formula unit
# - Final energy: -4.91 eV per atom


Record 8
# PBE ZnRe2W, optimized geometry
data_ZnRe2W
_symmetry_space_group_name_H-M 'C m m 2'
_symmetry_Int_Tables_number 35
_cell_length_a 3.068
_cell_length_b 4.438
_cell_length_c 8.994
_cell_angle_alpha 90.00
_cell_angle_beta 90.00
_cell_angle_gamma 90.00
loop_
_symmetry_equiv_pos_as_xyz
'x,y,z'
'-x,-y,z'
'-x,y,z'
'x,-y,z'
'x+1/2,y+1/2,z'
'-x+1/2,-y+1/2,z'
'-x+1/2,y+1/2,z'
'x+1/2,-y+1/2,z'
loop_
_atom_site_label
_atom_site_fract_x
_atom_site_fract_y
_atom_site_fract_z
Zn1 0.000 0.000 0.000
Re1 0.000 0.000 0.503
Re2 0.000 0.500 0.749
W1 0.000 0.500 0.254
# - Formation energy: 267 meV/atom
# - Crystal system: orthorhombic
# - Spin magnetization: 0.00 μB per formula unit
# - Final energy: -9.51 eV per atom


Record 9
# PBE K3Np2PbO9, optimized geometry
data_K3Np2PbO9
_symmetry_space_group_name_H-M 'P -3 m 1'
_symmetry_Int_Tables_number 164
_symmetry_space_group_name_Hall '-P 3 2"'
_cell_length_a 6.1926
_cell_length_b 6.1926
_cell_length_c 7.6771
_cell_angle_alpha 90.00
_cell_angle_beta 90.00
_cell_angle_gamma 120.00
loop_
_atom_site_label
_atom_site_fract_x
_atom_site_fract_y
_atom_site_fract_z
K1 0.0000 0.0000 0.0000
K2 0.3333 0.6667 0.6577
Np1 0.3333 0.6667 0.1562
Pb1 0.0000 0.0000 0.5000
O1 0.0000 0.5000 0.0000
O2 0.1824 0.3649 0.3049
# - Crystal system: trigonal
# - Spin magnetization: 1.00 μB per formula unit
# - Energy relative to the elements, uncorrected: -2.283 eV per atom
# - Final energy: -7.45 eV per atom


Record 10
# PBE GdTlCd2, optimized geometry
data_GdTlCd2
_symmetry_space_group_name_H-M 'P 4/m m m'
_symmetry_Int_Tables_number 123
_symmetry_space_group_name_Hall '-P 4 2'
_cell_length_a 3.898
_cell_length_b 3.898
_cell_length_c 6.961
_cell_angle_alpha 90.00
_cell_angle_beta 90.00
_cell_angle_gamma 90.00
loop_
_atom_site_label
_atom_site_fract_x
_atom_site_fract_y
_atom_site_fract_z
Gd1 0.000 0.000 0.000
Tl1 0.000 0.000 0.500
Cd1 0.500 0.500 0.251
# - Formation energy: -173 meV/atom
# - Crystal system: tetragonal
# - Distance to the lowest polymorph of the same formula: 89 meV/atom
# - Spin magnetization: 7.51 μB per formula unit
# - Final energy: -4.74 eV per atom


Record 11
# PBE Cr2NiAs2, optimized geometry
data_Cr2NiAs2
_symmetry_space_group_name_H-M 'P 4/m b m'
_symmetry_Int_Tables_number 127
_symmetry_space_group_name_Hall '-P 4 2ab'
_cell_length_a 6.711
_cell_length_b 6.711
_cell_length_c 3.052
_cell_angle_alpha 90.00
_cell_angle_beta 90.00
_cell_angle_gamma 90.00
loop_
_atom_site_label
_atom_site_fract_x
_atom_site_fract_y
_atom_site_fract_z
Cr1 0.141 0.359 0.000
Ni1 0.000 0.000 0.500
As1 0.157 0.657 0.500
# - Formation energy: 67 meV/atom
# - Crystal system: tetragonal
# - Spin magnetization: 3.34 μB per formula unit
# - Final energy: -6.80 eV per atom


Record 12
# PBE Rb2AgHgAu, optimized geometry
data_Rb2AgHgAu
_symmetry_space_group_name_H-M 'P 4/m m m'
_symmetry_Int_Tables_number 123
_symmetry_space_group_name_Hall '-P 4 2'
_cell_length_a 6.548
_cell_length_b 6.548
_cell_length_c 5.296
_cell_angle_alpha 90.00
_cell_angle_beta 90.00
_cell_angle_gamma 90.00
loop_
_atom_site_label
_atom_site_fract_x
_atom_site_fract_y
_atom_site_fract_z
Rb1 0.000 0.500 0.000
Ag1 0.000 0.000 0.500
Hg1 0.500 0.500 0.500
Au1 0.000 0.000 0.000
# - Formation energy: -55 meV/atom
# - Crystal system: tetragonal
# - Distance to the lowest polymorph of the same formula: 0 meV/atom
# - Spin magnetization: 0.09 μB per formula unit
# - Final energy: -1.73 eV per atom